Density functional theory data (PBE) for a relaxed ZrMn3Au crystal.

a b c (Å): 4.8547 4.8547 4.8547
angles (deg): 90.00 90.00 90.00
With the nearest neighbours (Å) after each atom.
Space group Pm-3m (No. 221)
Inequivalent atoms, fractional coordinates:
1 Zr 0.0000 0.0000 0.0000 x1  12 Mn 3.43
2 Mn 0.0000 0.5000 0.5000 x3  2 Au 2.43
3 Au 0.5000 0.5000 0.5000 x1  6 Mn 2.43

Energy of formation (eV/atom): 0.963
Theoretical density (Mg/m³): 6.57
Energy above the lowest structure with this stoichiometry (meV per atom): 0
DOS(E_F) (states/eV/f.u.): 7.76
Total DFT energy (no corrections) (eV per atom): -6.904
M_tot (μB per cell): 10.7


Density functional theory data (PBE) for a relaxed Zr3MnAu crystal.

a b c (Å): 4.7765 4.7765 4.7765
angles (deg): 90.00 90.00 90.00
With the nearest neighbours (Å) after each atom.
Space group Pm-3m (No. 221)
Inequivalent atoms, fractional coordinates:
1 Zr 0.0000 0.0000 0.5000 x3  2 Mn 2.39
2 Mn 0.0000 0.0000 0.0000 x1  6 Zr 2.39
3 Au 0.5000 0.5000 0.5000 x1  12 Zr 3.38

Energy of formation (eV/atom): 0.242
Theoretical density (Mg/m³): 8.01
Energy above the lowest structure with this stoichiometry (meV per atom): 0
DOS(E_F) (states/eV/f.u.): 8.80
Total DFT energy (no corrections) (eV per atom): -7.377
M_tot (μB per cell): 0.0


Density functional theory data (PBE) for a relaxed ZrMn4Au crystal.

a b c (Å): 6.8893 6.8893 6.8893
angles (deg): 90.00 90.00 90.00
With the nearest neighbours (Å) after each atom.
Space group F-43m (No. 216)
Inequivalent atoms, fractional coordinates:
1 Zr 0.0000 0.0000 0.0000 x4  12 Mn 2.86, 4 Au 2.98
2 Mn 0.1215 0.1215 0.3785 x16  6 Mn 2.37-2.50
3 Au 0.2500 0.2500 0.7500 x4  12 Mn 2.85, 4 Zr 2.98

Energy of formation (eV/atom): 0.000
Theoretical density (Mg/m³): 10.32
DOS(E_F) (states/eV/f.u.): 4.96
Total DFT energy (no corrections) (eV per atom): -8.084
M_tot (μB per cell): 0.0